## PrEuLu (PBE)

Data for a relaxed structure of PrEuLu. Values from VASP.

Output
E_tot, eV per atom: -6.47

Cell and atoms, written as Quantum ESPRESSO input:
```
&SYSTEM
  ibrav = 0, nat = 3, ntyp = 3
/
ATOMIC_SPECIES
Pr 140.91 Pr.upf
Eu 151.96 Eu.upf
Lu 174.97 Lu.upf
ATOMIC_POSITIONS crystal
Pr 0.000 0.000 0.000
Eu 0.321 0.321 0.000
Lu 0.651 0.651 0.000
CELL_PARAMETERS angstrom
-1.850 1.850 7.702
1.850 -1.850 7.702
1.850 1.850 -7.702
```

***

## Cs3Tb2Br9 (PBE)

Data for a relaxed structure of Cs3Tb2Br9. Values from VASP.

Output
E_form (uncorrected), eV per atom: -1.895

Cell and atoms, written as Quantum ESPRESSO input:
```
&SYSTEM
  ibrav = 0, nat = 28, ntyp = 3
/
ATOMIC_SPECIES
Cs 132.91 Cs.upf
Tb 158.93 Tb.upf
Br 79.90 Br.upf
ATOMIC_POSITIONS crystal
Cs 0.088 0.750 0.412
Cs 0.250 0.588 0.912
Cs 0.412 0.088 0.750
Cs 0.588 0.912 0.250
Cs 0.750 0.412 0.088
Cs 0.912 0.250 0.588
Tb 0.152 0.152 0.152
Tb 0.348 0.348 0.348
Tb 0.652 0.652 0.652
Tb 0.848 0.848 0.848
Br 0.081 0.917 0.733
Br 0.083 0.267 0.919
Br 0.095 0.405 0.250
Br 0.233 0.417 0.581
Br 0.250 0.095 0.405
Br 0.267 0.919 0.083
Br 0.405 0.250 0.095
Br 0.417 0.581 0.233
Br 0.419 0.767 0.583
Br 0.581 0.233 0.417
Br 0.583 0.419 0.767
Br 0.595 0.750 0.905
Br 0.733 0.081 0.917
Br 0.750 0.905 0.595
Br 0.767 0.583 0.419
Br 0.905 0.595 0.750
Br 0.917 0.733 0.081
Br 0.919 0.083 0.267
CELL_PARAMETERS angstrom
6.970 4.024 6.701
-6.970 4.024 6.701
0.000 -8.048 6.701
```